1.
# SiTePd

A geometry-optimized SiTePd structure (PBE-GGA, OQMD).

Cell lengths 6.3557, 6.3557, 6.3557 Å; angles 90.00, 90.00, 90.00 degrees
Space group F-43m (No. 216)
Inequivalent atoms, fractional coordinates:
1 Si 0.0000 0.0000 0.0000 x4
2 Te 0.0000 0.0000 0.5000 x4
3 Pd 0.2500 0.2500 0.2500 x4

Offset from the most stable computed form (eV/f.u.): 0.59
Theoretical density (g/cm³): 6.8


2.
# BeSbPd2

A geometry-optimized BeSbPd2 structure (PBE-GGA, OQMD).

Cell lengths 6.2994, 6.2994, 6.2994 Å; angles 90.00, 90.00, 90.00 degrees
Space group F-43m (No. 216)
Inequivalent atoms, fractional coordinates:
1 Be 0.0000 0.0000 0.0000 x4
2 Sb 0.2500 0.2500 0.7500 x4
3 Pd 0.0000 0.0000 0.5000 x4
4 Pd 0.2500 0.2500 0.2500 x4

Total DFT energy (no corrections) (eV per cell): -73.9
Theoretical density (g/cm³): 9.1


3.
# PrGaAu2

A geometry-optimized PrGaAu2 structure (PBE-GGA, OQMD).

Cell lengths 4.5145, 6.4656, 6.0720 Å; angles 90.00, 90.00, 90.00 degrees
Space group Pmn2_1 (No. 31)
Inequivalent atoms, fractional coordinates:
1 Pr 0.0000 0.0886 0.0000 x2
2 Ga 0.0000 0.6118 0.2460 x2
3 Au 0.0000 0.2478 0.5113 x2
4 Au 0.0000 0.6514 0.7274 x2

Total DFT energy (no corrections) (eV per cell): -33.6
Theoretical density (g/cm³): 11.3


4.
# InFe3Bi5

A geometry-optimized InFe3Bi5 structure (PBE-GGA, OQMD).

Cell lengths 5.5156, 5.5156, 8.5010 Å; angles 90.00, 90.00, 120.00 degrees
Space group P6/mmm (No. 191)
Inequivalent atoms, fractional coordinates:
1 In 0.0000 0.0000 0.0000 x1
2 Fe 0.0000 0.5000 0.5000 x3
3 Bi 0.0000 0.0000 0.5000 x1
4 Bi 0.3333 0.6667 0.2212 x4

Total DFT energy (no corrections) (eV per cell): -46.1
Theoretical density (g/cm³): 9.8


5.
# HfIn2Fe

A geometry-optimized HfIn2Fe structure (PBE-GGA, OQMD).

Cell lengths 6.7463, 6.7463, 6.7463 Å; angles 90.00, 90.00, 90.00 degrees
Space group F-43m (No. 216)
Inequivalent atoms, fractional coordinates:
1 Hf 0.0000 0.0000 0.0000 x4
2 In 0.0000 0.0000 0.5000 x4
3 In 0.2500 0.2500 0.2500 x4
4 Fe 0.2500 0.2500 0.7500 x4

Total DFT energy (no corrections) (eV per cell): -91.4
Theoretical density (g/cm³): 10.0


6.
# Hf2Si3W4N3

A geometry-optimized Hf2Si3W4N3 structure (PBE-GGA, OQMD).

Cell lengths 8.9041, 5.1938, 13.7491 Å; angles 90.00, 102.63, 90.00 degrees
Space group C2/c (No. 15)
Inequivalent atoms, fractional coordinates:
1 Hf 0.0430 0.0809 0.3813 x8
2 Si 0.0000 0.4358 0.7500 x4
3 Si 0.2398 0.1570 0.7494 x8
4 W 0.1156 0.4264 0.5922 x8
5 W 0.2139 0.4166 0.9072 x8
6 N 0.0753 0.2252 0.0002 x8
7 N 0.2500 0.2500 0.5000 x4

Total DFT energy (no corrections) (eV per cell): -470.7
Theoretical density (g/cm³): 13.0


7.
# BaAcPa

A geometry-optimized BaAcPa structure (PBE-GGA, OQMD).

Cell lengths 8.2150, 8.2150, 8.2150 Å; angles 90.00, 90.00, 90.00 degrees
Space group F-43m (No. 216)
Inequivalent atoms, fractional coordinates:
1 Ba 0.0000 0.0000 0.0000 x4
2 Ac 0.2500 0.2500 0.2500 x4
3 Pa 0.0000 0.0000 0.5000 x4

Total DFT energy (no corrections) (eV per cell): -45.3
Theoretical density (g/cm³): 7.1


8.
# La2ThS5

A geometry-optimized La2ThS5 structure (PBE-GGA, OQMD).

Cell lengths 12.1362, 8.3576, 7.6276 Å; angles 90.00, 90.00, 90.00 degrees
Space group Pnma (No. 62)
Inequivalent atoms, fractional coordinates:
1 La 0.1771 0.0010 0.0218 x8
2 Th 0.0091 0.2500 0.5734 x4
3 S 0.0021 0.2500 0.9556 x4
4 S 0.0979 0.5414 0.6622 x8
5 S 0.1879 0.2500 0.3318 x4
6 S 0.2160 0.7500 0.3027 x4

Total DFT energy (no corrections) (eV per cell): -220.8
Theoretical density (g/cm³): 5.8


9.
# Na2YTaSe4

A geometry-optimized Na2YTaSe4 structure (PBE-GGA, OQMD).

Cell lengths 3.7715, 3.7715, 14.8296 Å; angles 90.00, 90.00, 120.00 degrees
Space group P-6m2 (No. 187)
Inequivalent atoms, fractional coordinates:
1 Na 0.0000 0.0000 0.2456 x2
2 Y 0.0000 0.0000 0.5000 x1
3 Ta 0.0000 0.0000 0.0000 x1
4 Se 0.3333 0.6667 0.3783 x2
5 Se 0.6667 0.3333 0.1066 x2

Total DFT energy (no corrections) (eV per cell): -44.4
Theoretical density (g/cm³): 5.7


10.
# HoTmFeGe2

A geometry-optimized HoTmFeGe2 structure (PBE-GGA, OQMD).

Cell lengths 10.4644, 4.1778, 10.0986 Å; angles 90.00, 117.94, 90.00 degrees
Space group C2/m (No. 12)
Inequivalent atoms, fractional coordinates:
1 Ho 0.1880 0.0000 0.1125 x4
2 Tm 0.0050 0.0000 0.3319 x4
3 Fe 0.2245 0.5000 0.3599 x4
4 Ge 0.0117 0.5000 0.8744 x4
5 Ge 0.1515 0.5000 0.5639 x4

Total DFT energy (no corrections) (eV per cell): -119.9
Theoretical density (g/cm³): 9.1


11.
# NaInSnPt

A geometry-optimized NaInSnPt structure (PBE-GGA, OQMD).

Cell lengths 6.8640, 6.8640, 6.8640 Å; angles 90.00, 90.00, 90.00 degrees
Space group F-43m (No. 216)
Inequivalent atoms, fractional coordinates:
1 Na 0.0000 0.0000 0.0000 x4
2 In 0.2500 0.2500 0.2500 x4
3 Sn 0.2500 0.2500 0.7500 x4
4 Pt 0.0000 0.0000 0.5000 x4

Offset from the most stable computed form (eV/f.u.): 0.00
Theoretical density (g/cm³): 9.3


12.
# NdTmMg6

A geometry-optimized NdTmMg6 structure (PBE-GGA, OQMD).

Cell lengths 5.1730, 7.4222, 5.1735 Å; angles 90.00, 90.00, 90.00 degrees
Space group Pmm2 (No. 25)
Inequivalent atoms, fractional coordinates:
1 Nd 0.0000 0.0000 0.0000 x1
2 Tm 0.5000 0.5000 0.4924 x1
3 Mg 0.0000 0.2580 0.5008 x2
4 Mg 0.0000 0.5000 0.0002 x1
5 Mg 0.5000 0.0000 0.4943 x1
6 Mg 0.5000 0.2580 0.9923 x2

Total DFT energy (no corrections) (eV per cell): -19.2
Theoretical density (g/cm³): 3.8


13.
# CuMo3Br7

A geometry-optimized CuMo3Br7 structure (PBE-GGA, OQMD).

Cell lengths 13.6844, 13.6844, 13.6844 Å; angles 90.00, 90.00, 90.00 degrees
Space group Pn-3 (No. 201, origin choice 2)
Inequivalent atoms, fractional coordinates:
1 Cu 0.0600 0.0600 0.0600 x8
2 Mo 0.0241 0.5299 0.8685 x24
3 Br 0.0622 0.5769 0.6841 x24
4 Br 0.0757 0.6249 0.1834 x24
5 Br 0.1362 0.1362 0.3638 x8

Total DFT energy (no corrections) (eV per cell): -436.4
Theoretical density (g/cm³): 4.7


14.
# Gd2DyCu4Si4

A geometry-optimized Gd2DyCu4Si4 structure (PBE-GGA, OQMD).

Cell lengths 3.9971, 4.0495, 23.6823 Å; angles 90.00, 90.00, 90.00 degrees
Space group Immm (No. 71)
Inequivalent atoms, fractional coordinates:
1 Gd 0.0000 0.0000 0.1494 x4
2 Dy 0.0000 0.5000 0.0000 x2
3 Cu 0.0000 0.0000 0.4041 x4
4 Cu 0.0000 0.5000 0.2501 x4
5 Si 0.0000 0.0000 0.3062 x4
6 Si 0.0000 0.5000 0.4502 x4

Total DFT energy (no corrections) (eV per cell): -114.9
Theoretical density (g/cm³): 7.3


15.
# LaNbB

A geometry-optimized LaNbB structure (PBE-GGA, OQMD).

Cell lengths 6.1636, 6.1636, 6.1636 Å; angles 90.00, 90.00, 90.00 degrees
Space group F-43m (No. 216)
Inequivalent atoms, fractional coordinates:
1 La 0.0000 0.0000 0.0000 x4
2 Nb 0.0000 0.0000 0.5000 x4
3 B 0.2500 0.2500 0.2500 x4

Offset from the most stable computed form (eV/f.u.): 0.00
Theoretical density (g/cm³): 6.9


16.
# TbDy2As2N6

A geometry-optimized TbDy2As2N6 structure (PBE-GGA, OQMD).

Cell lengths 3.8416, 3.8416, 18.7855 Å; angles 90.00, 90.00, 90.00 degrees
Space group I4/mmm (No. 139)
Inequivalent atoms, fractional coordinates:
1 Tb 0.0000 0.0000 0.0000 x2
2 Dy 0.0000 0.0000 0.1797 x4
3 As 0.0000 0.0000 0.3961 x4
4 N 0.0000 0.0000 0.2992 x4
5 N 0.0000 0.5000 0.0840 x8

Total DFT energy (no corrections) (eV per cell): -158.7
Theoretical density (g/cm³): 8.6


17.
# NdUTc2

A geometry-optimized NdUTc2 structure (PBE-GGA, OQMD).

Cell lengths 3.3613, 3.3613, 7.3292 Å; angles 90.00, 90.00, 90.00 degrees
Space group P4/mmm (No. 123)
Inequivalent atoms, fractional coordinates:
1 Nd 0.0000 0.0000 0.0000 x1
2 U 0.0000 0.0000 0.5000 x1
3 Tc 0.5000 0.5000 0.3049 x2

Energy of formation (kJ/mol of formula units): -17
Theoretical density (g/cm³): 11.6


18.
# CuB4Pd

A geometry-optimized CuB4Pd structure (PBE-GGA, OQMD).

Cell lengths 3.0112, 3.0112, 6.9994 Å; angles 90.00, 90.00, 120.00 degrees
Space group P6/mmm (No. 191)
Inequivalent atoms, fractional coordinates:
1 Cu 0.0000 0.0000 0.0000 x1
2 B 0.3333 0.6667 0.2390 x4
3 Pd 0.0000 0.0000 0.5000 x1

Offset from the most stable computed form (eV/f.u.): 0.03
Theoretical density (g/cm³): 6.4


19.
# Ho2S3

A geometry-optimized Ho2S3 structure (PBE-GGA, OQMD).

Cell lengths 10.1538, 4.0085, 17.5557 Å; angles 90.00, 98.66, 90.00 degrees
Space group P2_1/m (No. 11)
Inequivalent atoms, fractional coordinates:
1 Ho 0.0136 0.2500 0.1011 x2
2 Ho 0.0493 0.7500 0.6149 x2
3 Ho 0.3110 0.2500 0.4793 x2
4 Ho 0.3123 0.2500 0.7794 x2
5 Ho 0.3295 0.7500 0.2812 x2
6 Ho 0.3758 0.2500 0.0698 x2
7 S 0.1150 0.7500 0.4669 x2
8 S 0.1323 0.2500 0.9682 x2
9 S 0.1378 0.7500 0.7817 x2
10 S 0.1804 0.2500 0.3177 x2
11 S 0.2107 0.7500 0.1305 x2
12 S 0.2318 0.2500 0.6267 x2
13 S 0.4477 0.2500 0.9248 x2
14 S 0.4514 0.7500 0.4240 x2
15 S 0.4927 0.2500 0.2318 x2

Total DFT energy (no corrections) (eV per cell): -191.5
Theoretical density (g/cm³): 6.0